# 1
A plane-wave DFT calculation with PBE-GGA was carried out for an optimized crystal structure of LiSc.

Properties
excess energy over the best structure of this formula in the dataset: 232 meV/atom
volume: 44 Å³/f.u.
ΔE_f: 0.323 eV/atom

Cell lengths 7.7856, 7.7856, 7.7856 Å; angles 92.13, 92.13, 157.79 degrees
Closest atoms and distances in Å follow each position.
Atoms (fractional coordinates):
Li: 0.0812 0.3737 0.4550  6 Li 2.74-3.00, 1 Sc 2.79
Li: 0.3737 0.9188 0.2925  6 Li 2.74-3.00, 1 Sc 2.79
Li: 0.6263 0.0812 0.7075  6 Li 2.74-3.00, 1 Sc 2.79
Li: 0.9188 0.6263 0.5450  6 Li 2.74-3.00, 1 Sc 2.79
Sc: 0.1315 0.8296 0.9611  3 Li 2.79-3.07, 2 Sc 3.00
Sc: 0.1704 0.1315 0.3018  3 Li 2.79-3.07, 2 Sc 3.00
Sc: 0.8296 0.8685 0.6982  3 Li 2.79-3.07, 2 Sc 3.00
Sc: 0.8685 0.1704 0.0389  3 Li 2.79-3.07, 2 Sc 3.00



# 2
A plane-wave DFT calculation with PBE-GGA was carried out for an optimized crystal structure of Lu2UAl.

Properties
volume: 97 Å³/f.u.
ΔE_f: 0.285 eV/atom

Cell lengths 11.4591, 11.4591, 11.4591 Å; angles 15.75, 15.75, 15.75 degrees
Closest atoms and distances in Å follow each position.
Atoms (fractional coordinates):
Lu: 0.0941 0.0941 0.0941  3 Al 3.06, 6 Lu 3.14, 1 U 3.19
Lu: 0.9059 0.9059 0.9059  3 Al 3.06, 6 Lu 3.14, 1 U 3.19
U: 0.0000 0.0000 0.0000  6 U 3.14, 2 Lu 3.19
Al: 0.5000 0.5000 0.5000  6 Lu 3.06, 6 Al 3.14



# 3
A plane-wave DFT calculation with PBE-GGA was carried out for an optimized crystal structure of SbIrI2N.

Properties
excess energy over the best structure of this formula in the dataset: 825 meV/atom
E_form (uncorrected): 1.328 eV/atom
volume: 162 Å³/f.u.

Cell lengths 5.7096, 5.7096, 4.9576 Å; angles 90.00, 90.00, 90.00 degrees
Closest atoms and distances in Å follow each position.
Atoms (fractional coordinates):
Sb: 0.0000 0.0000 0.0000  2 Ir 2.48
Ir: 0.0000 0.0000 0.5000  2 Sb 2.48
I: 0.0000 0.5000 0.5000  2 Ir 2.85
I: 0.5000 0.0000 0.5000  2 Ir 2.85
N: 0.5000 0.5000 0.0000  8 I 3.78, 4 Sb 4.04



# 4
A plane-wave DFT calculation with PBE-GGA was carried out for an optimized crystal structure of HAu5.

Properties
volume: 102 Å³/f.u.

Cell lengths 7.5825, 7.5825, 4.8365 Å; angles 90.00, 90.00, 158.38 degrees
Closest atoms and distances in Å follow each position.
Atoms (fractional coordinates):
H: 0.0000 0.0000 0.0000  4 Au 2.11
Au: 0.1689 0.8311 0.5000  10 Au 2.80-2.96
Au: 0.3955 0.6045 0.0000  2 H 2.11
Au: 0.5000 0.5000 0.5000  4 H 2.81, 10 Au 2.84-2.89
Au: 0.6045 0.3955 0.0000  2 H 2.11
Au: 0.8311 0.1689 0.5000  10 Au 2.80-2.96



# 5
A plane-wave DFT calculation with PBE-GGA was carried out for an optimized crystal structure of Sc3SnHg.

Properties
excess energy over the best structure of this formula in the dataset: 0 meV/atom
volume: 119 Å³/f.u.
ΔE_f: -0.319 eV/atom

Cell lengths 8.6084, 8.6084, 6.9511 Å; angles 103.36, 103.36, 99.09 degrees
Closest atoms and distances in Å follow each position.
Atoms (fractional coordinates):
Sc: 0.0554 0.3046 0.5670  2 Sn 2.86-3.19, 2 Hg 2.94-3.15, 1 Sc 3.14
Sc: 0.0753 0.6992 0.9863  3 Sn 2.89-3.17, 2 Hg 3.00-3.21, 1 Sc 3.22
Sc: 0.3008 0.9247 0.5137  3 Sn 2.89-3.17, 2 Hg 3.00-3.21, 1 Sc 3.22
Sc: 0.3046 0.0554 0.0670  2 Sn 2.86-3.19, 2 Hg 2.94-3.15, 1 Sc 3.14
Sc: 0.3352 0.4069 0.0041  2 Sn 2.86-3.01, 2 Hg 3.02-3.04, 2 Sc 3.05-3.14
Sc: 0.4069 0.3352 0.5041  2 Sn 2.86-3.01, 2 Hg 3.02-3.04, 2 Sc 3.05-3.14
Sc: 0.5931 0.6648 0.4959  2 Sn 2.86-3.01, 2 Hg 3.02-3.04, 2 Sc 3.05-3.14
Sc: 0.6648 0.5931 0.9959  2 Sn 2.86-3.01, 2 Hg 3.02-3.04, 2 Sc 3.05-3.14
Sc: 0.6954 0.9446 0.9330  2 Sn 2.86-3.19, 2 Hg 2.94-3.15, 1 Sc 3.14
Sc: 0.6992 0.0753 0.4863  3 Sn 2.89-3.17, 2 Hg 3.00-3.21, 1 Sc 3.22
Sc: 0.9247 0.3008 0.0137  3 Sn 2.89-3.17, 2 Hg 3.00-3.21, 1 Sc 3.22
Sc: 0.9446 0.6954 0.4330  2 Sn 2.86-3.19, 2 Hg 2.94-3.15, 1 Sc 3.14
Sn: 0.1932 0.5399 0.3214  1 Hg 2.83, 6 Sc 2.86-3.17
Sn: 0.4601 0.8068 0.1786  1 Hg 2.83, 6 Sc 2.86-3.17
Sn: 0.5399 0.1932 0.8214  1 Hg 2.83, 6 Sc 2.86-3.17
Sn: 0.8068 0.4601 0.6786  1 Hg 2.83, 6 Sc 2.86-3.17
Hg: 0.0055 0.9945 0.2500  6 Sc 2.94-3.15
Hg: 0.3506 0.6494 0.7500  2 Sn 2.83, 4 Sc 3.02-3.04
Hg: 0.6494 0.3506 0.2500  2 Sn 2.83, 4 Sc 3.02-3.04
Hg: 0.9945 0.0055 0.7500  6 Sc 2.94-3.15



# 6
A plane-wave DFT calculation with PBE-GGA was carried out for an optimized crystal structure of BaLiHg2Ge.

Properties
volume: 134 Å³/f.u.
ΔE_f: -0.263 eV/atom

Cell lengths 5.1094, 5.1094, 5.1333 Å; angles 90.00, 90.00, 90.00 degrees
Closest atoms and distances in Å follow each position.
Atoms (fractional coordinates):
Ba: 0.0000 0.0000 0.0000  4 Ge 3.61, 8 Hg 3.62
Li: 0.5000 0.5000 0.5000  4 Hg 2.55, 2 Ge 2.57
Hg: 0.0000 0.5000 0.5000  2 Li 2.55
Hg: 0.5000 0.0000 0.5000  2 Li 2.55
Ge: 0.5000 0.5000 0.0000  2 Li 2.57



# 7
A plane-wave DFT calculation with PBE-GGA was carried out for an optimized crystal structure of Al3Te5.

Properties
excess energy over the best structure of this formula in the dataset: 0 meV/atom
E_form (uncorrected): -0.275 eV/atom
volume: 279 Å³/f.u.

Cell lengths 8.0390, 8.0642, 9.6430 Å; angles 71.30, 74.07, 73.95 degrees
Closest atoms and distances in Å follow each position.
Atoms (fractional coordinates):
Al: 0.0599 0.0029 0.3078  4 Te 2.63-2.69
Al: 0.2327 0.5313 0.0521  5 Te 2.69-2.93
Al: 0.4333 0.6604 0.5896  4 Te 2.64-2.72
Al: 0.5667 0.3396 0.4104  4 Te 2.64-2.72
Al: 0.7673 0.4687 0.9479  5 Te 2.69-2.93
Al: 0.9401 0.9971 0.6922  4 Te 2.63-2.69
Te: 0.0895 0.2608 0.0546  3 Al 2.65-2.92
Te: 0.2331 0.6921 0.2578  2 Al 2.63-2.70
Te: 0.2506 0.0015 0.4978  3 Al 2.68-2.72
Te: 0.2673 0.4135 0.6041  2 Al 2.64-2.66
Te: 0.4587 0.7156 0.8391  3 Al 2.65-2.93
Te: 0.5413 0.2844 0.1609  3 Al 2.65-2.93
Te: 0.7327 0.5865 0.3959  2 Al 2.64-2.66
Te: 0.7494 0.9985 0.5022  3 Al 2.68-2.72
Te: 0.7669 0.3079 0.7422  2 Al 2.63-2.70
Te: 0.9105 0.7392 0.9454  3 Al 2.65-2.92



# 8
A plane-wave DFT calculation with PBE-GGA was carried out for an optimized crystal structure of Ac2Zn3Ga2.

Properties
excess energy over the best structure of this formula in the dataset: 201 meV/atom
volume: 179 Å³/f.u.
ΔE_f: -0.183 eV/atom

Cell lengths 11.5116, 11.5116, 3.7147 Å; angles 90.00, 90.00, 158.73 degrees
Closest atoms and distances in Å follow each position.
Atoms (fractional coordinates):
Ac: 0.1494 0.8506 0.0000  6 Ga 3.24-3.49, 5 Zn 3.38-3.51
Ac: 0.8506 0.1494 0.0000  6 Ga 3.24-3.49, 5 Zn 3.38-3.51
Zn: 0.0000 0.0000 0.0000  8 Zn 3.10, 2 Ac 3.38
Zn: 0.4429 0.5571 0.5000  1 Zn 2.58
Zn: 0.5571 0.4429 0.5000  1 Zn 2.58
Ga: 0.2802 0.7198 0.5000  2 Ga 2.53
Ga: 0.7198 0.2802 0.5000  2 Ga 2.53



# 9
A plane-wave DFT calculation with PBE-GGA was carried out for an optimized crystal structure of Y6Ho4Zr.

Properties
volume: 341 Å³/f.u.
ΔE_f: 0.148 eV/atom

Cell lengths 8.7837, 8.7837, 8.8371 Å; angles 90.00, 90.00, 90.00 degrees
Closest atoms and distances in Å follow each position.
Atoms (fractional coordinates):
Y: 0.0000 0.0000 0.1761  1 Zr 2.86, 1 Y 3.11
Y: 0.0000 0.0000 0.8239  1 Zr 2.86, 1 Y 3.11
Y: 0.1510 0.3435 0.5000  1 Zr 3.30, 6 Ho 3.34-3.45
Y: 0.1565 0.3490 0.0000  1 Zr 3.30, 6 Ho 3.34-3.45
Y: 0.3435 0.8490 0.5000  1 Zr 3.30, 6 Ho 3.34-3.45
Y: 0.3490 0.8435 0.0000  1 Zr 3.30, 6 Ho 3.34-3.45
Y: 0.5000 0.5000 0.3239  1 Zr 2.86, 1 Y 3.11
Y: 0.5000 0.5000 0.6761  1 Zr 2.86, 1 Y 3.11
Y: 0.6510 0.1565 0.0000  1 Zr 3.30, 6 Ho 3.34-3.45
Y: 0.6565 0.1510 0.5000  1 Zr 3.30, 6 Ho 3.34-3.45
Y: 0.8435 0.6510 0.0000  1 Zr 3.30, 6 Ho 3.34-3.45
Y: 0.8490 0.6565 0.5000  1 Zr 3.30, 6 Ho 3.34-3.45
Ho: 0.1447 0.6447 0.2500  8 Y 3.34-3.45, 1 Ho 3.60
Ho: 0.1447 0.6447 0.7500  8 Y 3.34-3.45, 1 Ho 3.60
Ho: 0.3553 0.1447 0.2500  8 Y 3.34-3.45, 1 Ho 3.60
Ho: 0.3553 0.1447 0.7500  8 Y 3.34-3.45, 1 Ho 3.60
Ho: 0.6447 0.8553 0.2500  8 Y 3.34-3.45, 1 Ho 3.60
Ho: 0.6447 0.8553 0.7500  8 Y 3.34-3.45, 1 Ho 3.60
Ho: 0.8553 0.3553 0.2500  8 Y 3.34-3.45, 1 Ho 3.60
Ho: 0.8553 0.3553 0.7500  8 Y 3.34-3.45, 1 Ho 3.60
Zr: 0.0000 0.0000 0.5000  2 Y 2.86
Zr: 0.5000 0.5000 0.0000  2 Y 2.86



# 10
A plane-wave DFT calculation with PBE-GGA was carried out for an optimized crystal structure of Li2FeTc.

Properties
excess energy over the best structure of this formula in the dataset: 52 meV/atom
volume: 55 Å³/f.u.
ΔE_f: 0.249 eV/atom

Cell lengths 2.4949, 3.9888, 5.5159 Å; angles 90.00, 90.00, 90.00 degrees
Closest atoms and distances in Å follow each position.
Atoms (fractional coordinates):
Li: 0.0000 0.0000 0.0000  6 Li 2.49-2.67, 1 Tc 2.62
Li: 0.5000 0.5000 0.2272  6 Li 2.49-2.67, 1 Fe 2.64
Fe: 0.5000 0.5000 0.7064  2 Fe 2.49, 4 Tc 2.56, 1 Li 2.64
Tc: 0.0000 0.0000 0.5249  2 Tc 2.49, 4 Fe 2.56, 1 Li 2.62



VASP energy, record by record: -3.799 -5.733 -3.554 -3.046 -4.978 -2.074 -3.642 -2.768 -5.820 -5.415 eV per atom